Compound: ZrCr2Cd
Source: the Alexandria database
Functional: GGA-PBEsol
Structure: relaxed

E: -7.238 eV/atom
Magnetic moment: 5.438 μB per cell
Formation energy from the elements: 455 meV/atom
Symmetry: P4/mmm, No. 123

abc: 3.220 3.220 6.486
angles: 90.00 90.00 90.00
Each line ends with the local moment (μB).
Positions (direct):
1 Cr 0.000 0.000 0.247  2.62
2 Cd 0.500 0.500 0.500  0.01
3 Cr 0.000 0.000 0.753  2.62
4 Zr 0.500 0.500 0.000  -0.21